This record from the Alexandria database describes HoTaCr2O6 after structural relaxation. The functional is PBE with a Hubbard U.

```
10
Lattice="5.318 0.002 0.173 2.661 4.597 0.025 2.813 1.464 5.056" Properties=species:S:1:pos:R:3 pbc="T T T"
Ho 8.093 4.523 3.052
Ta 2.763 1.469 0.274
Cr 5.376 3.019 2.352
Cr 8.051 1.509 5.088
O 4.435 1.446 1.367
O 4.318 4.739 1.164
O 7.229 3.143 1.351
O 6.108 4.370 3.941
O 6.365 1.658 3.972
O 3.885 2.910 3.888
```

## Properties
E_tot: -8.524 eV per atom
space-group type: P1 (1)

---

This record from the Alexandria database describes Ca2WO5 after structural relaxation. The functional is PBE with a Hubbard U.

```
32
Lattice="-2.458 -4.672 1.383 2.537 0.702 6.881 -8.848 5.457 2.706" Properties=species:S:1:pos:R:3 pbc="T T T"
Ca -0.275 0.852 7.773
Ca -5.224 -1.109 3.117
Ca -7.843 4.114 5.340
Ca -7.114 0.917 6.603
Ca -1.655 0.570 4.367
Ca -0.926 -2.627 5.630
Ca -3.545 2.596 7.853
Ca -8.494 0.635 3.197
W -1.892 -3.060 2.451
W -4.746 2.099 4.038
W -4.023 -0.612 6.931
W -6.876 4.546 8.518
O 0.000 0.000 0.000
O -1.229 -2.336 0.691
O -3.567 -2.282 2.103
O -4.915 3.359 2.633
O -6.139 1.033 3.321
O -3.397 1.067 2.949
O -8.943 1.489 5.285
O -1.200 -1.562 3.383
O -2.424 -3.887 4.071
O -5.850 3.035 5.237
O -3.155 3.079 4.793
O -4.384 0.743 5.485
O -2.919 -1.548 5.733
O -6.345 5.374 6.899
O -7.569 3.048 7.587
O 0.174 -0.002 5.685
O -5.372 0.420 8.021
O -2.630 0.454 7.649
O -3.854 -1.872 8.337
O -5.202 3.768 8.867
```

## Properties
E_tot: -7.118 eV per atom
space-group type: Pnma (62)
energy above the most stable polymorph in this dataset: 39.2 meV/atom